The following is a DFT calculation (PBE+U) of crystalline MnAs2S2O4F12 at its relaxed geometry.

DOS at the Fermi energy ... 0.00 states/eV per cell
VASP energy ... -5.100 eV/atom
Calculated volume ... 337.9 Å³/f.u.

a = 15.5422 Å, b = 18.2540 Å, c = 9.5279 Å
α = 90.00°, β = 90.00°, γ = 90.00°
Space group Fdd2 (No. 43)
Unique sites:
Mn: 0.0000 0.0000 0.0000 (multiplicity 8)
As: 0.0936 0.3062 0.5524 (multiplicity 16)
S: 0.1014 0.3435 0.0343 (multiplicity 16)
O: 0.0642 0.3904 0.1393 (multiplicity 16)
O: 0.0811 0.0429 0.8320 (multiplicity 16)
F: 0.0053 0.2894 0.4411 (multiplicity 16)
F: 0.0261 0.3161 0.6974 (multiplicity 16)
F: 0.0650 0.0776 0.4001 (multiplicity 16)
F: 0.0814 0.4037 0.5099 (multiplicity 16)
F: 0.0870 0.0501 0.1467 (multiplicity 16)
F: 0.1072 0.2118 0.5805 (multiplicity 16)